[1]
An optimized crystal structure of CdNiCl2. Source: Alexandria, functional PBE.

```
4
Lattice="3.547 0.000 0.000 0.000 6.048 0.000 0.000 0.000 3.888" Properties=species:S:1:pos:R:3 pbc="T T T"
Cl 1.773 3.024 0.000
Cl 0.000 0.000 0.000
Cd 0.000 3.024 1.944
Ni 1.773 0.000 1.944
```

Calculated values
E_tot: -0.1903 Ry per atom
ΔE_f (raw): 8.5 meV/atom

[2]
An optimized crystal structure of YIrN2. Source: Alexandria, functional PBE.

```
8
Lattice="-0.436 -0.910 4.548 3.589 -2.960 -0.248 5.028 2.155 3.299" Properties=species:S:1:pos:R:3 pbc="T T T"
N 4.750 0.333 4.101
N 3.470 -1.373 0.980
N 1.408 -0.452 3.894
N 6.733 -1.938 6.222
Y 1.576 -1.935 2.150
Y 5.097 -1.370 2.600
Ir 3.084 -0.345 4.998
Ir 0.000 0.000 0.000
```

Calculated values
E_tot: -0.6099 Ry per atom
ΔE_f (raw): -304.1 meV/atom

[3]
An optimized crystal structure of Nd12DyTh5. Source: Alexandria, functional PBE.

```
18
Lattice="-13.983 1.609 -6.623 -4.194 -2.010 -9.901 -1.256 -4.753 1.497" Properties=species:S:1:pos:R:3 pbc="T T T"
Nd -4.791 0.551 -2.269
Nd -12.337 -1.029 -4.798
Nd -10.819 0.413 -7.766
Nd -16.535 -3.827 -8.382
Nd -8.899 -2.255 -5.806
Nd -2.898 -1.327 -6.646
Nd -4.476 -2.764 -3.711
Nd -10.534 -2.899 -9.222
Nd -10.448 -3.695 -2.857
Nd -2.903 -2.115 -0.329
Nd -14.957 -2.390 -11.317
Nd -8.614 -5.567 -7.261
Th -5.746 -3.457 -6.976
Th -7.620 -1.572 -2.563
Th -6.050 -0.142 -5.529
Th -13.687 -1.697 -8.052
Th -12.127 -0.258 -10.996
Dy 0.000 0.000 0.000
```

Calculated values
E_tot: -0.4013 Ry per atom
formation enthalpy at 0 K: 0.6 eV/f.u.

[4]
An optimized crystal structure of RbY2Te4Au. Source: Alexandria, functional PBE.

```
16
Lattice="-4.271 -1.014 0.741 4.286 -5.942 3.205 0.534 7.784 13.719" Properties=species:S:1:pos:R:3 pbc="T T T"
Te 0.267 3.892 6.860
Te -0.791 1.129 10.353
Te 1.341 -0.301 7.312
Te -1.784 0.786 4.163
Te 0.000 0.000 0.000
Te 1.185 -2.577 3.301
Te -0.635 3.405 14.364
Te 2.334 0.043 13.502
Rb 0.949 4.193 11.201
Rb -0.399 -3.365 6.464
Y -1.540 -1.624 2.270
Y 2.090 2.452 15.395
Y -1.349 1.163 7.182
Y 1.899 -0.334 10.483
Au -0.260 0.909 13.111
Au 0.810 -0.081 4.554
```

Calculated values
E_tot: -0.3562 Ry per atom
ΔE_f (raw): -1129.0 meV/atom